Entry 1:
CrReSbI2 | PBE | optimized geometry

Calculated density   6.4 g cm⁻³
E above lowest polymorph   0 meV/atom

Unit cell a=5.6145 b=5.6145 c=5.0891 alpha=90.00 beta=90.00 gamma=90.00
Last column: nearest neighbours and their distance in Å.
Space group P4/mmm (No. 123)
Asymmetric unit:
Cr1 0.0000 0.0000 0.0000 [1 per cell]  8 I 3.79, 4 Sb 3.97
Re1 0.5000 0.5000 0.5000 [1 per cell]  2 Sb 2.54, 4 I 2.81
Sb1 0.5000 0.5000 0.0000 [1 per cell]  2 Re 2.54
I1 0.0000 0.5000 0.5000 [2 per cell]  2 Re 2.81


Entry 2:
CrReSbI2 | PBE | optimized geometry

Calculated density   6.4 g cm⁻³
E above lowest polymorph   274 meV/atom

Unit cell a=5.4036 b=5.4036 c=5.4371 alpha=90.00 beta=90.00 gamma=90.00
Last column: nearest neighbours and their distance in Å.
Space group P4/mmm (No. 123)
Asymmetric unit:
Cr1 0.0000 0.0000 0.0000 [1 per cell]  4 I 2.70, 2 Sb 2.72
Re1 0.5000 0.5000 0.5000 [1 per cell]  4 Sb 3.82, 8 I 3.83
Sb1 0.0000 0.0000 0.5000 [1 per cell]  2 Cr 2.72
I1 0.0000 0.5000 0.0000 [2 per cell]  2 Cr 2.70


Entry 3:
Sc2CrReI | PBE | optimized geometry

Calculated density   6.6 g cm⁻³
Raw total energy   -6.618 eV per atom

Unit cell a=5.1291 b=5.1291 c=4.3483 alpha=90.00 beta=90.00 gamma=90.00
Last column: nearest neighbours and their distance in Å.
Space group P4/mmm (No. 123)
Asymmetric unit:
Sc1 0.0000 0.5000 0.0000 [2 per cell]  2 Cr 2.56
Cr1 0.0000 0.0000 0.0000 [1 per cell]  2 Re 2.17
Re1 0.0000 0.0000 0.5000 [1 per cell]  2 Cr 2.17
I1 0.5000 0.5000 0.5000 [1 per cell]  8 Sc 3.36, 4 Re 3.63


Entry 4:
Cr2ReSeI | PBE | optimized geometry

Calculated density   5.2 g cm⁻³
Raw total energy   -5.058 eV per atom

Unit cell a=5.1929 b=5.1929 c=5.8547 alpha=90.00 beta=90.00 gamma=90.00
Last column: nearest neighbours and their distance in Å.
Space group P4/mmm (No. 123)
Asymmetric unit:
Cr1 0.0000 0.5000 0.0000 [2 per cell]  2 I 2.60
Re1 0.0000 0.0000 0.5000 [1 per cell]  4 Se 3.67, 8 Cr 3.91
Se1 0.5000 0.5000 0.5000 [1 per cell]  2 I 2.93
I1 0.5000 0.5000 0.0000 [1 per cell]  4 Cr 2.60


Entry 5:
TiCrRe2I | PBE | optimized geometry

Calculated density   10.5 g cm⁻³
Raw total energy   -7.384 eV per atom

Unit cell a=4.5784 b=4.5784 c=4.5256 alpha=90.00 beta=90.00 gamma=90.00
Last column: nearest neighbours and their distance in Å.
Space group P4/mmm (No. 123)
Asymmetric unit:
Ti1 0.0000 0.0000 0.0000 [1 per cell]  2 Cr 2.26
Cr1 0.0000 0.0000 0.5000 [1 per cell]  2 Ti 2.26, 4 Re 2.29
Re1 0.0000 0.5000 0.5000 [2 per cell]  2 Cr 2.29
I1 0.5000 0.5000 0.0000 [1 per cell]  8 Re 3.22, 4 Ti 3.24


Entry 6:
YCr2ReI | PBE | optimized geometry

Calculated density   6.6 g cm⁻³
Raw total energy   -7.137 eV per atom

Unit cell a=4.7153 b=4.7153 c=5.7331 alpha=90.00 beta=90.00 gamma=90.00
Last column: nearest neighbours and their distance in Å.
Space group P4/mmm (No. 123)
Asymmetric unit:
Y1 0.0000 0.0000 0.0000 [1 per cell]  2 Re 2.87
Cr1 0.0000 0.5000 0.5000 [2 per cell]  2 Re 2.36
Re1 0.0000 0.0000 0.5000 [1 per cell]  4 Cr 2.36
I1 0.5000 0.5000 0.0000 [1 per cell]  4 Y 3.33, 8 Cr 3.71